Run one
Below is a relaxed structure of SbWBr2, with properties calculated at the PBEsol level.

- M_tot (Bohr magnetons per cell) = 0.45
- symmetry = I-4m2 (119)
- crystal system = tetragonal

Cell lengths 4.6682, 4.9862, 4.6682 Å; angles 62.09, 90.00, 117.91 degrees
Positions (direct):
Sb 0.5000 0.0000 0.5000
Br 0.0000 0.0000 0.0000
Br 0.2500 0.5000 0.2500
W 0.7500 0.5000 0.7500

***

Run two
Below is a relaxed structure of SbWBr2, with properties calculated at the PBEsol level.

- M_tot (Bohr magnetons per cell) = 0.00
- symmetry = I4/mmm (139)
- crystal system = tetragonal

Cell lengths 4.8220, 4.8220, 4.8189 Å; angles 120.02, 120.02, 90.00 degrees
Positions (direct):
Br 0.7500 0.2500 0.5000
Br 0.2500 0.7500 0.5000
Sb 0.5000 0.5000 0.0000
W 0.0000 0.0000 0.0000

***

Of them, the most stable is run one and the least stable is run two.

***

Run one
Below is a relaxed structure of ZnSb2Br, with properties calculated at the PBEsol level.

- M_tot (Bohr magnetons per cell) = 0.00
- symmetry = F-43m (216)
- crystal system = cubic

Cell lengths 5.1082, 5.1082, 5.1082 Å; angles 60.00, 60.00, 60.00 degrees
Positions (direct):
Sb 0.7500 0.7500 0.7500
Br 0.5000 0.5000 0.5000
Zn 0.2500 0.2500 0.2500
Sb 0.0000 0.0000 0.0000

***

Run two
Below is a relaxed structure of ZnSb2Br, with properties calculated at the PBEsol level.

- M_tot (Bohr magnetons per cell) = 0.00
- symmetry = P4/mmm (123)
- crystal system = tetragonal

Cell lengths 4.2878, 4.2878, 5.7123 Å; angles 90.00, 90.00, 90.00 degrees
Positions (direct):
Zn 0.0000 0.0000 0.5000
Sb 0.5000 0.5000 0.0000
Br 0.5000 0.5000 0.5000
Sb 0.0000 0.0000 0.0000

***

Of them, the most stable is run two and the least stable is run one.

***

Run one
Below is a relaxed structure of ZnSb2Br, with properties calculated at the PBEsol level.

- M_tot (Bohr magnetons per cell) = 0.00
- symmetry = Imm2 (44)
- crystal system = orthorhombic

Cell lengths 3.3516, 5.0394, 6.4575 Å; angles 112.97, 105.04, 90.00 degrees
Positions (direct):
Sb 0.0247 0.0247 0.0494
Sb 0.7590 0.2590 0.5180
Br 0.2464 0.7464 0.4929
Zn 0.4699 0.4699 0.9397

***

Run two
Below is a relaxed structure of ZnSb2Br, with properties calculated at the PBEsol level.

- M_tot (Bohr magnetons per cell) = 0.00
- symmetry = Fm-3m (225)
- crystal system = cubic

Cell lengths 5.0637, 5.0637, 5.0637 Å; angles 60.00, 60.00, 60.00 degrees
Positions (direct):
Sb 0.7500 0.7500 0.7500
Sb 0.2500 0.2500 0.2500
Zn 0.5000 0.5000 0.5000
Br 0.0000 0.0000 0.0000

***

Of them, the most stable is run one and the least stable is run two.